Entry from the Alexandria database: a geometry-optimized Zr3Mo4 structure (PBE).

Calculated values
Calculated formation energy   0.53 eV/atom
Offset from the most stable computed form   0.5735 eV per atom
Energy   -65.26 eV per formula unit
Magnetization   0.0 μB/cell

Cell lengths 5.7131, 5.7131, 4.8123 Å; angles 90.00, 90.00, 120.00 degrees
Space group P6/mmm (No. 191)
Inequivalent atoms, fractional coordinates:
1 Zr 0.0000 0.5000 0.0000 (multiplicity 3)
2 Mo 0.0000 0.0000 0.2415 (multiplicity 2)
3 Mo 0.3333 0.6667 0.5000 (multiplicity 2)

=====

Entry from the Alexandria database: a geometry-optimized ScTi2IrS structure (PBE).

Calculated values
Energy   -29.63 eV per formula unit
Magnetization   0.0 μB/cell

Cell lengths 4.629, 4.629, 4.489 Å; angles 90.00, 90.00, 90.00 degrees
Space group P4/mmm (No. 123)
Inequivalent atoms, fractional coordinates:
1 Sc 0.000 0.000 0.000 (multiplicity 1)
2 Ti 0.000 0.500 0.000 (multiplicity 2)
3 Ir 0.500 0.500 0.500 (multiplicity 1)
4 S 0.000 0.000 0.500 (multiplicity 1)

=====

Entry from the Alexandria database: a geometry-optimized MgCuP structure (PBE).

Calculated values
Calculated formation energy   -0.43 eV/atom
Energy   -12.38 eV per formula unit
Magnetization   0.0 μB/cell

Cell lengths 6.3570, 6.3570, 3.8208 Å; angles 90.00, 90.00, 120.00 degrees
Space group P-62m (No. 189)
Inequivalent atoms, fractional coordinates:
1 Mg 0.0000 0.4111 0.0000 (multiplicity 3)
2 Cu 0.0000 0.7487 0.5000 (multiplicity 3)
3 P 0.0000 0.0000 0.0000 (multiplicity 1)
4 P 0.3333 0.6667 0.5000 (multiplicity 2)

=====

Entry from the Alexandria database: a geometry-optimized La2YTl structure (PBE).

Calculated values
Calculated formation energy   -0.15 eV/atom
Offset from the most stable computed form   0.0714 eV per atom
Energy   -19.27 eV per formula unit
Magnetization   0.0 μB/cell

Cell lengths 6.968, 10.113, 3.644 Å; angles 90.00, 90.00, 90.00 degrees
Space group Cmmm (No. 65)
Inequivalent atoms, fractional coordinates:
1 La 0.250 0.250 0.000 (multiplicity 4)
2 Y 0.000 0.000 0.500 (multiplicity 2)
3 Tl 0.000 0.500 0.500 (multiplicity 2)

=====

Entry from the Alexandria database: a geometry-optimized RbMg structure (PBE).

Calculated values
Calculated formation energy   0.29 eV/atom
Energy   -1.98 eV per formula unit
Magnetization   0.0 μB/cell

Cell lengths 4.6861, 4.6861, 34.8223 Å; angles 90.00, 90.00, 120.00 degrees
Space group R-3m (No. 166, hexagonal axes)
Inequivalent atoms, fractional coordinates:
1 Rb 0.0000 0.0000 0.1028 (multiplicity 6)
2 Mg 0.0000 0.0000 0.3543 (multiplicity 6)

=====

Entry from the Alexandria database: a geometry-optimized Re4TePb structure (PBE).

Calculated values
Energy   -50.81 eV per formula unit
Magnetization   0.0 μB/cell

Cell lengths 7.632, 7.632, 7.632 Å; angles 90.00, 90.00, 90.00 degrees
Space group F-43m (No. 216)
Inequivalent atoms, fractional coordinates:
1 Re 0.124 0.124 0.124 (multiplicity 16)
2 Te 0.250 0.250 0.750 (multiplicity 4)
3 Pb 0.000 0.000 0.500 (multiplicity 4)

=====

Entry from the Alexandria database: a geometry-optimized Ba4Hg3Au structure (PBE).

Calculated values
Calculated formation energy   -0.55 eV/atom
Energy   -16.31 eV per formula unit
Magnetization   0.0 μB/cell

Cell lengths 4.153, 4.153, 16.735 Å; angles 90.00, 90.00, 90.00 degrees
Space group P4/mmm (No. 123)
Inequivalent atoms, fractional coordinates:
1 Ba 0.000 0.000 0.117 (multiplicity 2)
2 Ba 0.000 0.000 0.374 (multiplicity 2)
3 Hg 0.500 0.500 0.246 (multiplicity 2)
4 Hg 0.500 0.500 0.500 (multiplicity 1)
5 Au 0.500 0.500 0.000 (multiplicity 1)

=====

Entry from the Alexandria database: a geometry-optimized AcLa3 structure (PBE).

Calculated values
Calculated formation energy   0.13 eV/atom
Offset from the most stable computed form   0.1263 eV per atom
Energy   -18.37 eV per formula unit
Magnetization   8.2 μB/cell

Cell lengths 8.586, 8.586, 8.586 Å; angles 90.00, 90.00, 90.00 degrees
Space group Fm-3m (No. 225)
Inequivalent atoms, fractional coordinates:
1 Ac 0.000 0.000 0.000 (multiplicity 4)
2 La 0.000 0.000 0.500 (multiplicity 4)
3 La 0.250 0.250 0.250 (multiplicity 8)